1.
# GGA-PBE PmSc2AlPt4, optimized geometry
# Crystal system: trigonal
# Calculated formation energy in eV/atom: -1.147
data_PmSc2AlPt4
_chemical_formula_sum 'Pm3 Sc6 Al3 Pt12'
_space_group_name_H-M_alt 'R -3 m'
_space_group_IT_number 166
_space_group_name_Hall '-R 3 2"'
_cell_length_a 4.5485
_cell_length_b 4.5485
_cell_length_c 25.3336
_cell_angle_alpha 90.00
_cell_angle_beta 90.00
_cell_angle_gamma 120.00
loop_
_atom_site_label
_atom_site_fract_x
_atom_site_fract_y
_atom_site_fract_z
Pm1 0.0000 0.0000 0.0000
Sc1 0.0000 0.0000 0.2409
Al1 0.0000 0.0000 0.5000
Pt1 0.0000 0.0000 0.1327
Pt2 0.0000 0.0000 0.3991

2.
# GGA-PBE EuTm3H, optimized geometry
# Crystal system: cubic
data_EuTm3H
_chemical_formula_sum 'Eu1 Tm3 H1'
_space_group_name_H-M_alt 'P m -3 m'
_space_group_IT_number 221
_space_group_name_Hall '-P 4 2 3'
_cell_length_a 4.976
_cell_length_b 4.976
_cell_length_c 4.976
_cell_angle_alpha 90.00
_cell_angle_beta 90.00
_cell_angle_gamma 90.00
loop_
_atom_site_label
_atom_site_fract_x
_atom_site_fract_y
_atom_site_fract_z
Eu1 0.000 0.000 0.000
Tm1 0.000 0.500 0.500
H1 0.500 0.500 0.500

3.
# GGA-PBE BaAcSmMg, optimized geometry
# Crystal system: cubic
# Calculated formation energy in eV/atom: 0.186
data_BaAcSmMg
_chemical_formula_sum 'Ba4 Ac4 Sm4 Mg4'
_space_group_name_H-M_alt 'F -4 3 m'
_space_group_IT_number 216
_space_group_name_Hall 'F -4 2 3'
_cell_length_a 8.573
_cell_length_b 8.573
_cell_length_c 8.573
_cell_angle_alpha 90.00
_cell_angle_beta 90.00
_cell_angle_gamma 90.00
loop_
_atom_site_label
_atom_site_fract_x
_atom_site_fract_y
_atom_site_fract_z
Ba1 0.000 0.000 0.000
Ac1 0.250 0.250 0.750
Sm1 0.000 0.000 0.500
Mg1 0.250 0.250 0.250

4.
# GGA-PBE Hf3TcAs, optimized geometry
# Polymorph energy (0 for the lowest one) in meV/atom: 0
# Crystal system: cubic
# Calculated formation energy in eV/atom: 0.433
data_Hf3TcAs
_chemical_formula_sum 'Hf3 Tc1 As1'
_space_group_name_H-M_alt 'P m -3 m'
_space_group_IT_number 221
_space_group_name_Hall '-P 4 2 3'
_cell_length_a 4.957
_cell_length_b 4.957
_cell_length_c 4.957
_cell_angle_alpha 90.00
_cell_angle_beta 90.00
_cell_angle_gamma 90.00
loop_
_atom_site_label
_atom_site_fract_x
_atom_site_fract_y
_atom_site_fract_z
Hf1 0.000 0.000 0.500
Tc1 0.000 0.000 0.000
As1 0.500 0.500 0.500

5.
# GGA-PBE Mg2GaBRh, optimized geometry
# Crystal system: tetragonal
# Calculated formation energy in eV/atom: 0.767
data_Mg2GaBRh
_chemical_formula_sum 'Mg2 Ga1 B1 Rh1'
_space_group_name_H-M_alt 'P 4/m m m'
_space_group_IT_number 123
_space_group_name_Hall '-P 4 2'
_cell_length_a 5.021
_cell_length_b 5.021
_cell_length_c 3.669
_cell_angle_alpha 90.00
_cell_angle_beta 90.00
_cell_angle_gamma 90.00
loop_
_atom_site_label
_atom_site_fract_x
_atom_site_fract_y
_atom_site_fract_z
Mg1 0.000 0.500 0.000
Ga1 0.000 0.000 0.000
B1 0.000 0.000 0.500
Rh1 0.500 0.500 0.500

6.
# GGA-PBE YHo15Er4, optimized geometry
# Crystal system: tetragonal
# Calculated formation energy in eV/atom: 0.021
data_YHo15Er4
_chemical_formula_sum 'Y1 Ho15 Er4'
_space_group_name_H-M_alt 'P 4/m m m'
_space_group_IT_number 123
_space_group_name_Hall '-P 4 2'
_cell_length_a 4.983
_cell_length_b 4.983
_cell_length_c 24.910
_cell_angle_alpha 90.00
_cell_angle_beta 90.00
_cell_angle_gamma 90.00
loop_
_atom_site_label
_atom_site_fract_x
_atom_site_fract_y
_atom_site_fract_z
Y1 0.000 0.000 0.000
Ho1 0.000 0.500 0.101
Ho2 0.000 0.500 0.300
Ho3 0.000 0.500 0.500
Ho4 0.500 0.500 0.000
Ho5 0.500 0.500 0.201
Ho6 0.500 0.500 0.400
Er1 0.000 0.000 0.201
Er2 0.000 0.000 0.400

7.
# GGA-PBE KTmSn2Cl8, optimized geometry
# ΔE_f (raw) in kcal/mol of atoms: -36.60
# Crystal system: triclinic
data_KTmSn2Cl8
_chemical_formula_sum 'K1 Tm1 Sn2 Cl8'
_space_group_name_H-M_alt 'P -1'
_space_group_IT_number 2
_space_group_name_Hall '-P 1'
_cell_length_a 6.451
_cell_length_b 6.839
_cell_length_c 8.836
_cell_angle_alpha 87.74
_cell_angle_beta 89.23
_cell_angle_gamma 88.05
loop_
_atom_site_label
_atom_site_fract_x
_atom_site_fract_y
_atom_site_fract_z
K1 0.000 0.000 0.000
Tm1 0.000 0.000 0.500
Sn1 0.493 0.484 0.252
Cl1 0.212 0.821 0.290
Cl2 0.234 0.308 0.465
Cl3 0.250 0.864 0.715
Cl4 0.282 0.360 0.031

8.
# GGA-PBE CaGeTe3, optimized geometry
# ΔE_f (raw) in kcal/mol of atoms: 7.09
# Polymorph energy (0 for the lowest one) in meV/atom: 558
# Crystal system: cubic
data_CaGeTe3
_chemical_formula_sum 'Ca1 Ge1 Te3'
_space_group_name_H-M_alt 'P m -3 m'
_space_group_IT_number 221
_space_group_name_Hall '-P 4 2 3'
_cell_length_a 5.781
_cell_length_b 5.781
_cell_length_c 5.781
_cell_angle_alpha 90.00
_cell_angle_beta 90.00
_cell_angle_gamma 90.00
loop_
_atom_site_label
_atom_site_fract_x
_atom_site_fract_y
_atom_site_fract_z
Ca1 0.000 0.000 0.000
Ge1 0.500 0.500 0.500
Te1 0.000 0.000 0.500

9.
# GGA-PBE Zn2BiPb, optimized geometry
# Polymorph energy (0 for the lowest one) in meV/atom: 0
# Crystal system: trigonal
# Calculated formation energy in eV/atom: 0.168
data_Zn2BiPb
_chemical_formula_sum 'Zn6 Bi3 Pb3'
_space_group_name_H-M_alt 'R 3 m'
_space_group_IT_number 160
_space_group_name_Hall 'R 3 -2"'
_cell_length_a 4.5502
_cell_length_b 4.5502
_cell_length_c 17.7445
_cell_angle_alpha 90.00
_cell_angle_beta 90.00
_cell_angle_gamma 120.00
loop_
_atom_site_label
_atom_site_fract_x
_atom_site_fract_y
_atom_site_fract_z
Zn1 0.0000 0.0000 0.0000
Zn2 0.0000 0.0000 0.1637
Bi1 0.0000 0.0000 0.5766
Pb1 0.0000 0.0000 0.7569

10.
# GGA-PBE PrDy2Sn, optimized geometry
# Polymorph energy (0 for the lowest one) in meV/atom: 0
# Crystal system: tetragonal
# Calculated formation energy in eV/atom: -0.419
data_PrDy2Sn
_chemical_formula_sum 'Pr1 Dy2 Sn1'
_space_group_name_H-M_alt 'P 4/m m m'
_space_group_IT_number 123
_space_group_name_Hall '-P 4 2'
_cell_length_a 4.889
_cell_length_b 4.889
_cell_length_c 4.844
_cell_angle_alpha 90.00
_cell_angle_beta 90.00
_cell_angle_gamma 90.00
loop_
_atom_site_label
_atom_site_fract_x
_atom_site_fract_y
_atom_site_fract_z
Pr1 0.000 0.000 0.000
Dy1 0.000 0.500 0.500
Sn1 0.500 0.500 0.000

11.
# GGA-PBE TbHo4Rh5, optimized geometry
# Crystal system: tetragonal
# Calculated formation energy in eV/atom: -0.887
data_TbHo4Rh5
_chemical_formula_sum 'Tb1 Ho4 Rh5'
_space_group_name_H-M_alt 'P 4/m m m'
_space_group_IT_number 123
_space_group_name_Hall '-P 4 2'
_cell_length_a 3.384
_cell_length_b 3.384
_cell_length_c 17.407
_cell_angle_alpha 90.00
_cell_angle_beta 90.00
_cell_angle_gamma 90.00
loop_
_atom_site_label
_atom_site_fract_x
_atom_site_fract_y
_atom_site_fract_z
Tb1 0.000 0.000 0.000
Ho1 0.000 0.000 0.201
Ho2 0.000 0.000 0.400
Rh1 0.500 0.500 0.102
Rh2 0.500 0.500 0.301
Rh3 0.500 0.500 0.500

12.
# GGA-PBE AcLaTl2, optimized geometry
# Crystal system: trigonal
# Calculated formation energy in eV/atom: -0.145
data_AcLaTl2
_chemical_formula_sum 'Ac3 La3 Tl6'
_space_group_name_H-M_alt 'R 3 m'
_space_group_IT_number 160
_space_group_name_Hall 'R 3 -2"'
_cell_length_a 4.9308
_cell_length_b 4.9308
_cell_length_c 21.7136
_cell_angle_alpha 90.00
_cell_angle_beta 90.00
_cell_angle_gamma 120.00
loop_
_atom_site_label
_atom_site_fract_x
_atom_site_fract_y
_atom_site_fract_z
Ac1 0.0000 0.0000 0.0000
La1 0.0000 0.0000 0.1749
Tl1 0.0000 0.0000 0.5843
Tl2 0.0000 0.0000 0.7601

13.
# GGA-PBE YRu3O, optimized geometry
# ΔE_f (raw) in kcal/mol of atoms: 58.34
# Polymorph energy (0 for the lowest one) in meV/atom: 2649
# Crystal system: cubic
data_YRu3O
_chemical_formula_sum 'Y1 Ru3 O1'
_space_group_name_H-M_alt 'P m -3 m'
_space_group_IT_number 221
_space_group_name_Hall '-P 4 2 3'
_cell_length_a 4.962
_cell_length_b 4.962
_cell_length_c 4.962
_cell_angle_alpha 90.00
_cell_angle_beta 90.00
_cell_angle_gamma 90.00
loop_
_atom_site_label
_atom_site_fract_x
_atom_site_fract_y
_atom_site_fract_z
Y1 0.000 0.000 0.000
Ru1 0.000 0.000 0.500
O1 0.500 0.500 0.500

14.
# GGA-PBE Pd8Pt6Au, optimized geometry
# Polymorph energy (0 for the lowest one) in meV/atom: 73
# Crystal system: trigonal
# Calculated formation energy in eV/atom: 0.174
data_Pd8Pt6Au
_chemical_formula_sum 'Pd8 Pt6 Au1'
_space_group_name_H-M_alt 'P -3'
_space_group_IT_number 147
_space_group_name_Hall '-P 3'
_cell_length_a 10.3432
_cell_length_b 10.3432
_cell_length_c 2.7302
_cell_angle_alpha 90.00
_cell_angle_beta 90.00
_cell_angle_gamma 120.00
loop_
_atom_site_label
_atom_site_fract_x
_atom_site_fract_y
_atom_site_fract_z
Pd1 0.0847 0.7966 0.2716
Pd2 0.3333 0.6667 0.7470
Pt1 0.0885 0.4645 0.2450
Au1 0.0000 0.0000 0.0000

15.
# GGA-PBE Nb2ZnAg, optimized geometry
# Crystal system: trigonal
# Calculated formation energy in eV/atom: 0.371
data_Nb2ZnAg
_chemical_formula_sum 'Nb6 Zn3 Ag3'
_space_group_name_H-M_alt 'R -3 m'
_space_group_IT_number 166
_space_group_name_Hall '-R 3 2"'
_cell_length_a 2.8174
_cell_length_b 2.8174
_cell_length_c 31.7943
_cell_angle_alpha 90.00
_cell_angle_beta 90.00
_cell_angle_gamma 120.00
loop_
_atom_site_label
_atom_site_fract_x
_atom_site_fract_y
_atom_site_fract_z
Nb1 0.0000 0.0000 0.0908
Zn1 0.0000 0.0000 0.5000
Ag1 0.0000 0.0000 0.0000

16.
# GGA-PBE La2Tb5Sm4, optimized geometry
# Polymorph energy (0 for the lowest one) in meV/atom: 77
# Crystal system: monoclinic
# Calculated formation energy in eV/atom: 0.147
data_La2Tb5Sm4
_chemical_formula_sum 'La4 Tb10 Sm8'
_space_group_name_H-M_alt 'C 1 2/m 1'
_space_group_IT_number 12
_space_group_name_Hall '-C 2y'
_cell_length_a 16.725
_cell_length_b 6.753
_cell_length_c 6.803
_cell_angle_alpha 90.00
_cell_angle_beta 100.05
_cell_angle_gamma 90.00
loop_
_atom_site_label
_atom_site_fract_x
_atom_site_fract_y
_atom_site_fract_z
La1 0.200 0.000 0.298
Tb1 0.000 0.000 0.500
Tb2 0.088 0.261 0.906
Sm1 0.087 0.500 0.406
Sm2 0.244 0.000 0.805

17.
# GGA-PBE LiPm2B10, optimized geometry
# Crystal system: orthorhombic
# Calculated formation energy in eV/atom: -0.401
data_LiPm2B10
_chemical_formula_sum 'Li2 Pm4 B20'
_space_group_name_H-M_alt 'P b a m'
_space_group_IT_number 55
_space_group_name_Hall '-P 2 2ab'
_cell_length_a 5.710
_cell_length_b 11.307
_cell_length_c 4.172
_cell_angle_alpha 90.00
_cell_angle_beta 90.00
_cell_angle_gamma 90.00
loop_
_atom_site_label
_atom_site_fract_x
_atom_site_fract_y
_atom_site_fract_z
Li1 0.000 0.000 0.000
Pm1 0.201 0.364 0.500
B1 0.055 0.192 0.000
B2 0.117 0.544 0.000
B3 0.140 0.699 0.000
B4 0.219 0.119 0.301

18.
# GGA-PBE Pm8Sb3Te4, optimized geometry
# ΔE_f (raw) in kcal/mol of atoms: -27.83
# Crystal system: monoclinic
data_Pm8Sb3Te4
_chemical_formula_sum 'Pm16 Sb6 Te8'
_space_group_name_H-M_alt 'C 1 2/m 1'
_space_group_IT_number 12
_space_group_name_Hall '-C 2y'
_cell_length_a 12.545
_cell_length_b 12.561
_cell_length_c 8.873
_cell_angle_alpha 90.00
_cell_angle_beta 134.90
_cell_angle_gamma 90.00
loop_
_atom_site_label
_atom_site_fract_x
_atom_site_fract_y
_atom_site_fract_z
Pm1 0.000 0.247 0.000
Pm2 0.000 0.248 0.500
Pm3 0.244 0.000 0.496
Pm4 0.247 0.000 0.000
Sb1 0.000 0.000 0.000
Sb2 0.250 0.250 0.500
Te1 0.000 0.500 0.000
Te2 0.000 0.500 0.500
Te3 0.250 0.250 0.000

19.
# GGA-PBE Hg2IrCl, optimized geometry
# ΔE_f (raw) in kcal/mol of atoms: 5.66
# Polymorph energy (0 for the lowest one) in meV/atom: 104
# Crystal system: monoclinic
data_Hg2IrCl
_chemical_formula_sum 'Hg2 Ir1 Cl1'
_space_group_name_H-M_alt 'P 1 2/m 1'
_space_group_IT_number 10
_space_group_name_Hall '-P 2y'
_cell_length_a 3.209
_cell_length_b 3.306
_cell_length_c 7.962
_cell_angle_alpha 90.00
_cell_angle_beta 90.16
_cell_angle_gamma 90.00
loop_
_atom_site_label
_atom_site_fract_x
_atom_site_fract_y
_atom_site_fract_z
Hg1 0.002 0.000 0.213
Ir1 0.500 0.500 0.000
Cl1 0.000 0.500 0.500

20.
# GGA-PBE MgSiAu2, optimized geometry
# ΔE_f (raw) in kcal/mol of atoms: -4.11
# Crystal system: tetragonal
data_MgSiAu2
_chemical_formula_sum 'Mg1 Si1 Au2'
_space_group_name_H-M_alt 'P 4/m m m'
_space_group_IT_number 123
_space_group_name_Hall '-P 4 2'
_cell_length_a 3.473
_cell_length_b 3.473
_cell_length_c 5.804
_cell_angle_alpha 90.00
_cell_angle_beta 90.00
_cell_angle_gamma 90.00
loop_
_atom_site_label
_atom_site_fract_x
_atom_site_fract_y
_atom_site_fract_z
Mg1 0.000 0.000 0.000
Si1 0.000 0.000 0.500
Au1 0.500 0.500 0.252

Number 1: total magnetic moment 0.00 μB per formula unit, DFT total energy -0.501 Ry per atom. Number 2: total magnetic moment 7.01 μB per formula unit, DFT total energy -0.404 Ry per atom. Number 3: total magnetic moment 0.00 μB per formula unit, DFT total energy -0.213 Ry per atom. Number 4: total magnetic moment 0.00 μB per formula unit, DFT total energy -0.628 Ry per atom. Number 5: total magnetic moment 0.00 μB per formula unit, DFT total energy -0.241 Ry per atom. Number 6: total magnetic moment 0.00 μB per formula unit, DFT total energy -0.342 Ry per atom. Number 7: total magnetic moment 0.00 μB per formula unit, DFT total energy -0.290 Ry per atom. Number 8: total magnetic moment 0.00 μB per formula unit, DFT total energy -0.213 Ry per atom. Number 9: total magnetic moment 0.00 μB per formula unit, DFT total energy -0.174 Ry per atom. Number 10: total magnetic moment 0.00 μB per formula unit, DFT total energy -0.361 Ry per atom. Number 11: total magnetic moment 0.00 μB per formula unit, DFT total energy -0.504 Ry per atom. Number 12: total magnetic moment 0.00 μB per formula unit, DFT total energy -0.264 Ry per atom. Number 13: total magnetic moment 6.76 μB per formula unit, DFT total energy -0.391 Ry per atom. Number 14: total magnetic moment 0.00 μB per formula unit, DFT total energy -0.384 Ry per atom. Number 15: total magnetic moment 0.00 μB per formula unit, DFT total energy -0.419 Ry per atom. Number 16: total magnetic moment 0.00 μB per formula unit, DFT total energy -0.336 Ry per atom. Number 17: total magnetic moment 0.00 μB per formula unit, DFT total energy -0.472 Ry per atom. Number 18: total magnetic moment 0.00 μB per formula unit, DFT total energy -0.397 Ry per atom. Number 19: total magnetic moment 0.00 μB per formula unit, DFT total energy -0.190 Ry per atom. Number 20: total magnetic moment 0.00 μB per formula unit, DFT total energy -0.262 Ry per atom.